Below is TlMoCl at its PBEsol-relaxed geometry, with properties calculated at the SCAN level.

Cell: 2.951 2.951 14.114 Å, 90.00 90.00 90.00°
Space group I4mm (No. 107)
Asymmetric unit:
1 Tl 0.000 0.000 0.000 [2 per cell]
2 Mo 0.000 0.000 0.333 [2 per cell]
3 Cl 0.000 0.000 0.737 [2 per cell]

## Properties
Final energy: -228.42 eV/cell
E_form (uncorrected): 0.34 eV/atom
DOS(E_F): 0.34 states/eV/atom